[1]
A plane-wave DFT calculation with PBE-GGA was carried out for crystalline ScAgSnPd at its relaxed geometry.

Cell: 4.7345 4.7345 4.7345 Å, 60.00 60.00 60.00°
Closest atoms and distances in Å follow each position.
Atoms (fractional coordinates):
1 Ag 0.0000 0.0000 0.0000  4 Pd 2.90, 4 Sc 2.90
2 Pd 0.2500 0.2500 0.2500  4 Ag 2.90, 4 Sn 2.90
3 Sc 0.7500 0.7500 0.7500  4 Sn 2.90, 4 Ag 2.90
4 Sn 0.5000 0.5000 0.5000  4 Pd 2.90, 4 Sc 2.90

Summary:
* energy above the most stable polymorph in this dataset: 97.7 meV per atom
* size of the total moment: 0.0 μB per cell

[2]
A plane-wave DFT calculation with PBE-GGA was carried out for crystalline KNd4P3 at its relaxed geometry.

Cell: 12.5538 12.5538 12.5538 Å, 22.06 22.06 22.06°
Closest atoms and distances in Å follow each position.
Atoms (fractional coordinates):
1 K 0.5000 0.5000 0.5000  6 P 3.54
2 Nd 0.0863 0.0863 0.0863  4 P 2.87-3.17
3 Nd 0.3064 0.3064 0.3064  4 P 2.94
4 Nd 0.9137 0.9137 0.9137  4 P 2.87-3.17
5 Nd 0.6936 0.6936 0.6936  4 P 2.94
6 P 0.7736 0.7736 0.7736  4 Nd 2.87-2.94
7 P 0.2264 0.2264 0.2264  4 Nd 2.87-2.94
8 P 0.0000 0.0000 0.0000  8 Nd 2.94-3.17

Summary:
* size of the total moment: 0.0 μB per cell

[3]
A plane-wave DFT calculation with PBE-GGA was carried out for crystalline PrP3Pb3 at its relaxed geometry.

Cell: 4.5311 4.5311 24.5470 Å, 90.00 90.00 120.00°
Closest atoms and distances in Å follow each position.
Atoms (fractional coordinates):
1 Pr 0.0000 0.0000 0.0000  6 P 3.05
2 Pr 0.0000 0.0000 0.5000  6 P 3.05
3 P 0.3333 0.6667 0.9361  3 Pb 3.00, 3 Pr 3.05
4 P 0.6667 0.3333 0.4361  3 Pb 3.00, 3 Pr 3.05
5 P 0.3333 0.6667 0.2500  3 Pb 2.62
6 P 0.6667 0.3333 0.7500  3 Pb 2.62
7 P 0.3333 0.6667 0.5639  3 Pb 3.00, 3 Pr 3.05
8 P 0.6667 0.3333 0.0639  3 Pb 3.00, 3 Pr 3.05
9 Pb 0.3333 0.6667 0.1236  4 P 3.00-3.10
10 Pb 0.6667 0.3333 0.6236  4 P 3.00-3.10
11 Pb 0.3333 0.6667 0.7500  3 P 2.62
12 Pb 0.6667 0.3333 0.2500  3 P 2.62
13 Pb 0.3333 0.6667 0.3764  4 P 3.00-3.10
14 Pb 0.6667 0.3333 0.8764  4 P 3.00-3.10

Summary:
* size of the total moment: 0.0 μB per cell

[4]
A plane-wave DFT calculation with PBE-GGA was carried out for crystalline NaZnCoTe at its relaxed geometry.

Cell: 4.6185 4.6185 4.6185 Å, 60.00 60.00 60.00°
Closest atoms and distances in Å follow each position.
Atoms (fractional coordinates):
1 Co 0.2500 0.2500 0.2500  4 Te 2.83, 4 Zn 2.83
2 Na 0.7500 0.7500 0.7500  4 Zn 2.83, 4 Te 2.83
3 Zn 0.0000 0.0000 0.0000  4 Na 2.83, 4 Co 2.83
4 Te 0.5000 0.5000 0.5000  4 Na 2.83, 4 Co 2.83

Summary:
* energy above the most stable polymorph in this dataset: 0.0 meV per atom
* size of the total moment: 0.0 μB per cell

[5]
A plane-wave DFT calculation with PBE-GGA was carried out for crystalline ZnFeTcPb at its relaxed geometry.

Cell: 4.4885 4.4885 4.4885 Å, 60.00 60.00 60.00°
Closest atoms and distances in Å follow each position.
Atoms (fractional coordinates):
1 Fe 0.7500 0.7500 0.7500  4 Zn 2.75, 4 Pb 2.75
2 Pb 0.0000 0.0000 0.0000  4 Fe 2.75, 4 Tc 2.75
3 Zn 0.5000 0.5000 0.5000  4 Tc 2.75, 4 Fe 2.75
4 Tc 0.2500 0.2500 0.2500  4 Zn 2.75, 4 Pb 2.75

Summary:
* energy above the most stable polymorph in this dataset: 0.0 meV per atom
* size of the total moment: 2.4 μB per cell

[6]
A plane-wave DFT calculation with PBE-GGA was carried out for crystalline PrCdB4 at its relaxed geometry.

Cell: 3.2228 3.2228 8.1126 Å, 90.00 90.00 120.00°
Closest atoms and distances in Å follow each position.
Atoms (fractional coordinates):
1 Cd 0.0000 0.0000 0.5000  12 B 2.68
2 B 0.6667 0.3333 0.2616  3 B 1.86
3 B 0.3333 0.6667 0.2616  3 B 1.86
4 B 0.3333 0.6667 0.7384  3 B 1.86
5 B 0.6667 0.3333 0.7384  3 B 1.86
6 Pr 0.0000 0.0000 0.0000  12 B 2.82

Summary:
* energy above the most stable polymorph in this dataset: 108.2 meV per atom
* size of the total moment: 0.0 μB per cell

| no. | uncorrected energy (eV/atom) |
| --- | --- |
| 1 | -5.080 |
| 2 | -5.413 |
| 3 | -4.738 |
| 4 | -3.026 |
| 5 | -5.369 |
| 6 | -5.225 |